# Pu8HgPt5 (PBE-GGA, relaxed)
# Crystal system: tetragonal
# Formation energy from the elements (eV per atom): -0.56
data_Pu8HgPt5
_space_group_name_H-M_alt 'I -4'
_space_group_IT_number 82
_cell_length_a 8.8095
_cell_length_b 8.8095
_cell_length_c 8.7609
_cell_angle_alpha 90.00
_cell_angle_beta 90.00
_cell_angle_gamma 90.00
loop_
_space_group_symop_operation_xyz
'x,y,z'
'y,-x,-z'
'-x,-y,z'
'-y,x,-z'
'x+1/2,y+1/2,z+1/2'
'y+1/2,-x+1/2,-z+1/2'
'-x+1/2,-y+1/2,z+1/2'
'-y+1/2,x+1/2,-z+1/2'
loop_
_atom_site_label
_atom_site_type_symbol
_atom_site_fract_x
_atom_site_fract_y
_atom_site_fract_z
Pu1 Pu 0.0733 0.1614 0.1934
Pu2 Pu 0.0766 0.3155 0.5638
Hg1 Hg 0.0000 0.5000 0.2500
Pt1 Pt 0.0000 0.0000 0.5000
Pt2 Pt 0.1312 0.2537 0.8816



# NdDy6Tm (PBE-GGA, relaxed)
# Crystal system: tetragonal
# E above lowest polymorph (meV per atom): 0
# Formation energy from the elements (eV per atom): 0.02
data_NdDy6Tm
_space_group_name_H-M_alt 'P 4/m m m'
_space_group_IT_number 123
_space_group_name_Hall '-P 4 2'
_cell_length_a 5.0281
_cell_length_b 5.0281
_cell_length_c 10.0367
_cell_angle_alpha 90.00
_cell_angle_beta 90.00
_cell_angle_gamma 90.00
loop_
_atom_site_label
_atom_site_type_symbol
_atom_site_fract_x
_atom_site_fract_y
_atom_site_fract_z
Nd1 Nd 0.0000 0.0000 0.0000
Dy1 Dy 0.0000 0.5000 0.2530
Dy2 Dy 0.5000 0.5000 0.0000
Dy3 Dy 0.5000 0.5000 0.5000
Tm1 Tm 0.0000 0.0000 0.5000



# Fe5Sb (PBE-GGA, relaxed)
# Crystal system: orthorhombic
# Uncorrected formation energy (eV/f.u.): 0.97
data_Fe5Sb
_space_group_name_H-M_alt 'C m m m'
_space_group_IT_number 65
_space_group_name_Hall '-C 2 2'
_cell_length_a 3.7570
_cell_length_b 10.8347
_cell_length_c 3.7195
_cell_angle_alpha 90.00
_cell_angle_beta 90.00
_cell_angle_gamma 90.00
loop_
_atom_site_label
_atom_site_type_symbol
_atom_site_fract_x
_atom_site_fract_y
_atom_site_fract_z
Fe1 Fe 0.0000 0.0000 0.0000
Fe2 Fe 0.0000 0.1795 0.5000
Fe3 Fe 0.0000 0.3176 0.0000
Sb1 Sb 0.0000 0.5000 0.5000



# KRb2Ba2 (PBE-GGA, relaxed)
# Crystal system: tetragonal
# E above lowest polymorph (meV per atom): 0
# Formation energy from the elements (eV per atom): 0.21
data_KRb2Ba2
_space_group_name_H-M_alt 'P 4/m b m'
_space_group_IT_number 127
_space_group_name_Hall '-P 4 2ab'
_cell_length_a 13.3021
_cell_length_b 13.3021
_cell_length_c 4.5913
_cell_angle_alpha 90.00
_cell_angle_beta 90.00
_cell_angle_gamma 90.00
loop_
_atom_site_label
_atom_site_type_symbol
_atom_site_fract_x
_atom_site_fract_y
_atom_site_fract_z
K1 K 0.0000 0.0000 0.0000
Rb1 Rb 0.1815 0.3185 0.5000
Ba1 Ba 0.1131 0.6131 0.0000



# NaSrZr2 (PBE-GGA, relaxed)
# Crystal system: cubic
# E above lowest polymorph (meV per atom): 198
# Formation energy from the elements (eV per atom): 0.96
data_NaSrZr2
_space_group_name_H-M_alt 'F m -3 m'
_space_group_IT_number 225
_space_group_name_Hall '-F 4 2 3'
_cell_length_a 7.7101
_cell_length_b 7.7101
_cell_length_c 7.7101
_cell_angle_alpha 90.00
_cell_angle_beta 90.00
_cell_angle_gamma 90.00
loop_
_atom_site_label
_atom_site_type_symbol
_atom_site_fract_x
_atom_site_fract_y
_atom_site_fract_z
Na1 Na 0.0000 0.0000 0.0000
Sr1 Sr 0.0000 0.0000 0.5000
Zr1 Zr 0.2500 0.2500 0.2500



# CaCd2OsO6 (PBE-GGA, relaxed)
# Crystal system: monoclinic
# Uncorrected formation energy (eV/f.u.): -14.14
data_CaCd2OsO6
_space_group_name_H-M_alt 'P 1 21/c 1'
_space_group_IT_number 14
_cell_length_a 5.6433
_cell_length_b 5.7057
_cell_length_c 9.8908
_cell_angle_alpha 90.00
_cell_angle_beta 124.31
_cell_angle_gamma 90.00
loop_
_space_group_symop_operation_xyz
'x,y,z'
'-x,-y,-z'
'-x,y+1/2,-z+1/2'
'x,-y+1/2,z+1/2'
loop_
_atom_site_label
_atom_site_type_symbol
_atom_site_fract_x
_atom_site_fract_y
_atom_site_fract_z
Ca1 Ca 0.0000 0.0000 0.0000
Cd1 Cd 0.2391 0.0372 0.7428
Os1 Os 0.5000 0.0000 0.5000
O1 O 0.1707 0.0740 0.2751
O2 O 0.2516 0.6604 0.0447
O3 O 0.4216 0.2121 0.0713



# Cs2RbCdHg (PBE-GGA, relaxed)
# Crystal system: tetragonal
# E above lowest polymorph (meV per atom): 139
# Formation energy from the elements (eV per atom): 0.03
data_Cs2RbCdHg
_space_group_name_H-M_alt 'P 4/m m m'
_space_group_IT_number 123
_space_group_name_Hall '-P 4 2'
_cell_length_a 7.2388
_cell_length_b 7.2388
_cell_length_c 6.9617
_cell_angle_alpha 90.00
_cell_angle_beta 90.00
_cell_angle_gamma 90.00
loop_
_atom_site_label
_atom_site_type_symbol
_atom_site_fract_x
_atom_site_fract_y
_atom_site_fract_z
Cs1 Cs 0.0000 0.5000 0.0000
Rb1 Rb 0.0000 0.0000 0.5000
Cd1 Cd 0.5000 0.5000 0.5000
Hg1 Hg 0.0000 0.0000 0.0000



# Ca2Pm15Y2 (PBE-GGA, relaxed)
# Crystal system: trigonal
# Formation energy from the elements (eV per atom): 0.23
data_Ca2Pm15Y2
_space_group_name_H-M_alt 'R -3 m'
_space_group_IT_number 166
_space_group_name_Hall '-R 3 2"'
_cell_length_a 11.6649
_cell_length_b 11.6649
_cell_length_c 17.6594
_cell_angle_alpha 90.00
_cell_angle_beta 90.00
_cell_angle_gamma 120.00
loop_
_atom_site_label
_atom_site_type_symbol
_atom_site_fract_x
_atom_site_fract_y
_atom_site_fract_z
Ca1 Ca 0.0000 0.0000 0.1685
Pm1 Pm 0.0000 0.2946 0.5000
Pm2 Pm 0.0000 0.5000 0.0000
Pm3 Pm 0.0074 0.5037 0.6409
Y1 Y 0.0000 0.0000 0.4037



# CaW2C (PBE-GGA, relaxed)
# Crystal system: tetragonal
# Formation energy from the elements (eV per atom): 0.95
data_CaW2C
_space_group_name_H-M_alt 'I 41/a m d'
_space_group_IT_number 141
_cell_length_a 6.2772
_cell_length_b 6.2772
_cell_length_c 8.8950
_cell_angle_alpha 90.00
_cell_angle_beta 90.00
_cell_angle_gamma 90.00
loop_
_space_group_symop_operation_xyz
'x,y,z'
'-x,-y,-z'
'-y+1/4,x+3/4,z+1/4'
'y+1/4,-x+3/4,-z+1/4'
'-x+1/2,-y,z+1/2'
'x+1/2,y,-z+1/2'
'y+1/4,-x+1/4,z+3/4'
'-y+1/4,x+1/4,-z+3/4'
'x,-y,-z'
'-x,y,z'
'-y+1/4,-x+1/4,-z+3/4'
'y+1/4,x+1/4,z+3/4'
'-x+1/2,y,-z+1/2'
'x+1/2,-y,z+1/2'
'y+1/4,x+3/4,-z+1/4'
'-y+1/4,-x+3/4,z+1/4'
'x+1/2,y+1/2,z+1/2'
'-x+1/2,-y+1/2,-z+1/2'
'-y+3/4,x+1/4,z+3/4'
'y+3/4,-x+1/4,-z+3/4'
'-x,-y+1/2,z'
'x,y+1/2,-z'
'y+3/4,-x+3/4,z+1/4'
'-y+3/4,x+3/4,-z+1/4'
'x+1/2,-y+1/2,-z+1/2'
'-x+1/2,y+1/2,z+1/2'
'-y+3/4,-x+3/4,-z+1/4'
'y+3/4,x+3/4,z+1/4'
'-x,y+1/2,-z'
'x,-y+1/2,z'
'y+3/4,x+1/4,-z+3/4'
'-y+3/4,-x+1/4,z+3/4'
loop_
_atom_site_label
_atom_site_type_symbol
_atom_site_fract_x
_atom_site_fract_y
_atom_site_fract_z
Ca1 Ca 0.0000 0.2500 0.3750
W1 W 0.0000 0.0000 0.0000
C1 C 0.0000 0.2500 0.8750



# NdNb3O9 (PBE-GGA, relaxed)
# Crystal system: monoclinic
# E above lowest polymorph (meV per atom): 0
# Uncorrected formation energy (eV/f.u.): -36.03
data_NdNb3O9
_space_group_name_H-M_alt 'P 1 21/c 1'
_space_group_IT_number 14
_cell_length_a 5.4144
_cell_length_b 7.7168
_cell_length_c 16.6675
_cell_angle_alpha 90.00
_cell_angle_beta 92.09
_cell_angle_gamma 90.00
loop_
_space_group_symop_operation_xyz
'x,y,z'
'-x,-y,-z'
'-x,y+1/2,-z+1/2'
'x,-y+1/2,z+1/2'
loop_
_atom_site_label
_atom_site_type_symbol
_atom_site_fract_x
_atom_site_fract_y
_atom_site_fract_z
Nd1 Nd 0.0330 0.2499 0.4676
Nb1 Nb 0.0088 0.0294 0.2486
Nb2 Nb 0.4710 0.0187 0.5994
Nb3 Nb 0.4805 0.5024 0.6000
O1 O 0.0988 0.2447 0.7402
O2 O 0.1491 0.5555 0.6434
O3 O 0.1534 0.5635 0.1433
O4 O 0.2619 0.5389 0.4827
O5 O 0.2627 0.5369 0.9831
O6 O 0.3179 0.5499 0.8113
O7 O 0.3219 0.5540 0.3099
O8 O 0.3471 0.2484 0.0799
O9 O 0.4359 0.2491 0.9052



# Y4Tm5Pb2 (PBE-GGA, relaxed)
# Crystal system: trigonal
# Formation energy from the elements (eV per atom): 0.22
data_Y4Tm5Pb2
_space_group_name_H-M_alt 'R -3 m'
_space_group_IT_number 166
_space_group_name_Hall '-R 3 2"'
_cell_length_a 5.2473
_cell_length_b 5.2473
_cell_length_c 46.3020
_cell_angle_alpha 90.00
_cell_angle_beta 90.00
_cell_angle_gamma 120.00
loop_
_atom_site_label
_atom_site_type_symbol
_atom_site_fract_x
_atom_site_fract_y
_atom_site_fract_z
Y1 Y 0.0000 0.0000 0.0715
Y2 Y 0.0000 0.0000 0.2254
Tm1 Tm 0.0000 0.0000 0.0000
Tm2 Tm 0.0000 0.0000 0.1478
Tm3 Tm 0.0000 0.0000 0.3035
Pb1 Pb 0.0000 0.0000 0.3786



# TbErNiIr (PBE-GGA, relaxed)
# Crystal system: cubic
# Formation energy from the elements (eV per atom): -0.66
data_TbErNiIr
_space_group_name_H-M_alt 'F -4 3 m'
_space_group_IT_number 216
_space_group_name_Hall 'F -4 2 3'
_cell_length_a 6.8012
_cell_length_b 6.8012
_cell_length_c 6.8012
_cell_angle_alpha 90.00
_cell_angle_beta 90.00
_cell_angle_gamma 90.00
loop_
_atom_site_label
_atom_site_type_symbol
_atom_site_fract_x
_atom_site_fract_y
_atom_site_fract_z
Tb1 Tb 0.0000 0.0000 0.0000
Er1 Er 0.0000 0.0000 0.5000
Ni1 Ni 0.2500 0.2500 0.7500
Ir1 Ir 0.2500 0.2500 0.2500



The records above give, respectively, N(E_F) values of 4.792; 1.532; 1.098; 1.099; 2.135; 0.438; 1.241; 1.476; 0.584; 0.000; 1.686; 0.509 states/eV per atom.
The records above give, respectively, magnetization values of 91.014; 0.000; 5.139; 0.000; 0.000; 3.865; 0.000; 0.002; 0.000; 0.000; 2.172; 0.000 μB/cell.
The records above give, respectively, volume values of 24.28; 31.72; 12.62; 81.24; 28.65; 13.15; 72.96; 36.51; 21.91; 13.38; 33.46; 19.66 Å³ per atom.